1.
## NaSbS4 (PBE-GGA)

Data for NaSbS4 after structural relaxation.

Cell: 3.733 4.855 7.450 Å, 96.31 90.00 90.00°
Sites, in units of the cell vectors:
Sb 0.000 0.500 0.500
S 0.500 0.807 0.672
S 0.000 0.825 0.242
S 0.000 0.175 0.758
S 0.500 0.193 0.328
Na 0.500 0.500 0.000

Properties
DFT total energy = -3.723 eV/atom
Formation energy from raw total energies = -0.39 eV per formula unit
Relative energy among the computed polymorphs = 0.177 eV per atom
DOS(E_F) = 0.58 states/eV/atom
Symmetry = P2/m (10)



2.
## Tb8Th (PBE-GGA)

Data for Tb8Th after structural relaxation.

Cell: 5.052 7.967 7.967 Å, 84.23 71.51 71.51°
Sites, in units of the cell vectors:
Tb 0.664 0.672 0.000
Th 0.000 0.000 0.000
Tb 0.668 0.332 0.332
Tb 0.332 0.668 0.668
Tb 0.336 0.000 0.328
Tb 0.336 0.328 0.000
Tb 0.000 0.332 0.668
Tb 0.000 0.668 0.332
Tb 0.664 0.000 0.672

Properties
DFT total energy = -4.913 eV/atom
DOS(E_F) = 1.47 states/eV/atom
Symmetry = I4/mmm (139)



3.
## Sm2BiO2 (PBE-GGA)

Data for Sm2BiO2 after structural relaxation.

Cell: 7.491 7.491 7.491 Å, 149.23 149.23 44.07°
Sites, in units of the cell vectors:
O 0.250 0.750 0.500
Bi 0.000 0.000 0.000
Sm 0.333 0.333 0.000
Sm 0.667 0.667 0.000
O 0.750 0.250 0.500

Properties
DFT total energy = -7.271 eV/atom
Formation energy from raw total energies = -13.12 eV per formula unit
DOS(E_F) = 0.12 states/eV/atom
Symmetry = I4/mmm (139)